Record 1
This record from Alexandria via LeMat-Bulk describes CaZn2Mo after structural relaxation. The functional is GGA-PBE.

Cell: 4.031 4.031 8.910 Å, 90.00 90.00 90.00°
Sites, in units of the cell vectors:
Ca 0.000 0.000 0.000
Ca 0.500 0.500 0.500
Zn 0.000 0.000 0.500
Zn 0.000 0.500 0.250
Zn 0.500 0.000 0.750
Zn 0.500 0.500 0.000
Mo 0.000 0.500 0.750
Mo 0.500 0.000 0.250

Calculated values
Mass density, g/cm3: 6.1
Energy above the most stable polymorph in this dataset, eV/atom: 0.258
Formation energy, meV/atom: 406
Space-group type: I-4m2

---

Record 2
This record from Alexandria via LeMat-Bulk describes CaZn2Mo after structural relaxation. The functional is GGA-PBE.

Cell: 6.687 6.687 6.687 Å, 90.00 90.00 90.00°
Sites, in units of the cell vectors:
Ca 0.000 0.000 0.000
Ca 0.000 0.500 0.500
Ca 0.500 0.000 0.500
Ca 0.500 0.500 0.000
Zn 0.250 0.250 0.250
Zn 0.250 0.250 0.750
Zn 0.250 0.750 0.250
Zn 0.250 0.750 0.750
Zn 0.750 0.250 0.250
Zn 0.750 0.250 0.750
Zn 0.750 0.750 0.250
Zn 0.750 0.750 0.750
Mo 0.000 0.000 0.500
Mo 0.000 0.500 0.000
Mo 0.500 0.000 0.000
Mo 0.500 0.500 0.500

Calculated values
Mass density, g/cm3: 5.9
Energy above the most stable polymorph in this dataset, eV/atom: 0.173
Formation energy, meV/atom: 320
Space-group type: Fm-3m

---

Record 3
This record from Alexandria via LeMat-Bulk describes Ca3ZnMo after structural relaxation. The functional is GGA-PBE.

Cell: 5.487 5.487 5.487 Å, 90.00 90.00 90.00°
Sites, in units of the cell vectors:
Ca 0.000 0.000 0.500
Ca 0.000 0.500 0.000
Ca 0.500 0.000 0.000
Zn 0.500 0.500 0.500
Mo 0.000 0.000 0.000

Calculated values
Mass density, g/cm3: 2.8
Energy above the most stable polymorph in this dataset, eV/atom: 0.015
Formation energy, meV/atom: 838
Space-group type: Pm-3m

---

Record 4
This record from Alexandria via LeMat-Bulk describes CaZn2Mo after structural relaxation. The functional is GGA-PBE.

Cell: 2.950 3.851 6.481 Å, 90.00 90.10 90.00°
Sites, in units of the cell vectors:
Ca 0.000 0.000 0.000
Zn 0.500 0.500 0.299
Zn 0.500 0.500 0.701
Mo 0.000 0.000 0.500

Calculated values
Mass density, g/cm3: 6.0
Energy above the most stable polymorph in this dataset, eV/atom: 0.000
Formation energy, meV/atom: 148
Space-group type: P2/m

---

Record 5
This record from Alexandria via LeMat-Bulk describes CaZn2Mo after structural relaxation. The functional is GGA-PBE.

Cell: 9.361 2.842 5.864 Å, 90.00 97.58 90.00°
Sites, in units of the cell vectors:
Ca 0.000 0.000 0.000
Ca 0.500 0.500 0.000
Zn 0.241 0.000 0.685
Zn 0.259 0.500 0.315
Zn 0.741 0.500 0.685
Zn 0.759 0.000 0.315
Mo 0.000 0.500 0.500
Mo 0.500 0.000 0.500

Calculated values
Mass density, g/cm3: 5.7
Energy above the most stable polymorph in this dataset, eV/atom: 0.162
Formation energy, meV/atom: 310
Space-group type: C2/m

---

Record 6
This record from Alexandria via LeMat-Bulk describes CaZnMo2 after structural relaxation. The functional is GGA-PBE.

Cell: 2.893 2.893 29.708 Å, 90.00 90.00 120.00°
Sites, in units of the cell vectors:
Ca 0.000 0.000 0.000
Ca 0.333 0.667 0.667
Ca 0.667 0.333 0.333
Zn 0.000 0.000 0.500
Zn 0.333 0.667 0.167
Zn 0.667 0.333 0.833
Mo 0.000 0.000 0.242
Mo 0.000 0.000 0.758
Mo 0.333 0.667 0.424
Mo 0.333 0.667 0.909
Mo 0.667 0.333 0.091
Mo 0.667 0.333 0.576

Calculated values
Mass density, g/cm3: 6.9
Formation energy, meV/atom: 722
Space-group type: R-3m

---

Record 7
This record from Alexandria via LeMat-Bulk describes CaZnMo after structural relaxation. The functional is GGA-PBE.

Cell: 3.342 3.342 11.088 Å, 90.00 90.00 90.00°
Sites, in units of the cell vectors:
Ca 0.000 0.000 0.000
Ca 0.500 0.500 0.500
Zn 0.000 0.000 0.302
Zn 0.500 0.500 0.802
Mo 0.000 0.000 0.697
Mo 0.500 0.500 0.197

Calculated values
Mass density, g/cm3: 5.4
Energy above the most stable polymorph in this dataset, eV/atom: 0.082
Formation energy, meV/atom: 493
Space-group type: I4mm

---

Record 8
This record from Alexandria via LeMat-Bulk describes CaZnMo after structural relaxation. The functional is GGA-PBE.

Cell: 3.942 4.044 14.119 Å, 90.00 90.00 90.00°
Sites, in units of the cell vectors:
Ca 0.000 0.000 0.000
Ca 0.000 0.500 0.500
Ca 0.500 0.000 0.500
Ca 0.500 0.500 0.000
Zn 0.000 0.000 0.326
Zn 0.000 0.500 0.826
Zn 0.500 0.000 0.826
Zn 0.500 0.500 0.326
Mo 0.000 0.000 0.683
Mo 0.000 0.500 0.183
Mo 0.500 0.000 0.183
Mo 0.500 0.500 0.683

Calculated values
Mass density, g/cm3: 5.9
Energy above the most stable polymorph in this dataset, eV/atom: 0.000
Formation energy, meV/atom: 411
Space-group type: Fmm2

---

Record 9
This record from Alexandria via LeMat-Bulk describes CaZn2Mo after structural relaxation. The functional is GGA-PBE.

Cell: 3.017 3.017 28.483 Å, 90.00 90.00 120.00°
Sites, in units of the cell vectors:
Ca 0.000 0.000 0.000
Ca 0.333 0.667 0.667
Ca 0.667 0.333 0.333
Zn 0.000 0.000 0.242
Zn 0.000 0.000 0.758
Zn 0.333 0.667 0.425
Zn 0.333 0.667 0.909
Zn 0.667 0.333 0.091
Zn 0.667 0.333 0.575
Mo 0.000 0.000 0.500
Mo 0.333 0.667 0.167
Mo 0.667 0.333 0.833

Calculated values
Mass density, g/cm3: 5.9
Energy above the most stable polymorph in this dataset, eV/atom: 0.267
Formation energy, meV/atom: 414
Space-group type: R-3m

---

Record 10
This record from Alexandria via LeMat-Bulk describes CaZnMo after structural relaxation. The functional is GGA-PBE.

Cell: 6.763 6.763 6.763 Å, 90.00 90.00 90.00°
Sites, in units of the cell vectors:
Ca 0.000 0.000 0.000
Ca 0.000 0.500 0.500
Ca 0.500 0.000 0.500
Ca 0.500 0.500 0.000
Zn 0.250 0.250 0.750
Zn 0.250 0.750 0.250
Zn 0.750 0.250 0.250
Zn 0.750 0.750 0.750
Mo 0.250 0.250 0.250
Mo 0.250 0.750 0.750
Mo 0.750 0.250 0.750
Mo 0.750 0.750 0.250

Calculated values
Mass density, g/cm3: 4.3
Energy above the most stable polymorph in this dataset, eV/atom: 1.013
Formation energy, meV/atom: 1424
Space-group type: F-43m

---

Record 11
This record from Alexandria via LeMat-Bulk describes CaZnMo2 after structural relaxation. The functional is GGA-PBE.

Cell: 3.055 4.645 10.266 Å, 90.00 90.00 90.00°
Sites, in units of the cell vectors:
Ca 0.000 0.000 0.000
Ca 0.500 0.500 0.500
Zn 0.000 0.000 0.500
Zn 0.500 0.500 0.000
Mo 0.000 0.500 0.231
Mo 0.000 0.500 0.769
Mo 0.500 0.000 0.269
Mo 0.500 0.000 0.731

Calculated values
Mass density, g/cm3: 6.8
Formation energy, meV/atom: 510
Space-group type: Immm

---

Record 12
This record from Alexandria via LeMat-Bulk describes CaZnMo2 after structural relaxation. The functional is GGA-PBE.

Cell: 2.726 2.726 9.454 Å, 90.00 90.00 90.00°
Sites, in units of the cell vectors:
Ca 0.000 0.000 0.000
Zn 0.000 0.000 0.500
Mo 0.500 0.500 0.281
Mo 0.500 0.500 0.719

Calculated values
Mass density, g/cm3: 7.0
Formation energy, meV/atom: 505
Space-group type: P4/mmm

---

Record 13
This record from Alexandria via LeMat-Bulk describes CaZn2Mo after structural relaxation. The functional is GGA-PBE.

Cell: 4.482 4.482 18.414 Å, 90.00 90.00 90.00°
Sites, in units of the cell vectors:
Ca 0.000 0.000 0.000
Ca 0.000 0.500 0.250
Ca 0.500 0.000 0.750
Ca 0.500 0.500 0.500
Zn 0.129 0.250 0.625
Zn 0.250 0.629 0.875
Zn 0.250 0.871 0.375
Zn 0.371 0.250 0.125
Zn 0.629 0.750 0.125
Zn 0.750 0.129 0.375
Zn 0.750 0.371 0.875
Zn 0.871 0.750 0.625
Mo 0.000 0.000 0.500
Mo 0.000 0.500 0.750
Mo 0.500 0.000 0.250
Mo 0.500 0.500 0.000

Calculated values
Mass density, g/cm3: 4.8
Energy above the most stable polymorph in this dataset, eV/atom: 0.557
Formation energy, meV/atom: 704
Space-group type: I-42d

---

Record 14
This record from Alexandria via LeMat-Bulk describes CaZn4Mo after structural relaxation. The functional is GGA-PBE.

Cell: 5.243 5.243 5.243 Å, 60.00 60.00 60.00°
Sites, in units of the cell vectors:
Ca 0.000 0.000 0.000
Zn 0.377 0.377 0.377
Zn 0.377 0.377 0.870
Zn 0.377 0.870 0.377
Zn 0.870 0.377 0.377
Mo 0.750 0.750 0.750

Calculated values
Mass density, g/cm3: 6.5
Formation energy, meV/atom: 84
Space-group type: F-43m

---

Record 15
This record from Alexandria via LeMat-Bulk describes CaZnMo2 after structural relaxation. The functional is GGA-PBE.

Cell: 5.565 9.537 2.695 Å, 90.00 90.00 90.00°
Sites, in units of the cell vectors:
Ca 0.000 0.000 0.000
Ca 0.500 0.500 0.000
Zn 0.000 0.500 0.000
Zn 0.500 0.000 0.000
Mo 0.250 0.250 0.500
Mo 0.250 0.750 0.500
Mo 0.750 0.250 0.500
Mo 0.750 0.750 0.500

Calculated values
Mass density, g/cm3: 6.9
Formation energy, meV/atom: 637
Space-group type: Cmmm